Ac3GeSb: optimized geometry, PBE.

Results
The distance to the lowest polymorph of the same formula is 0.089 eV/atom. Its space group is Pm-3m, No. 221. The calculation puts the uncorrected formation energy at -7.6 kcal/mol of atoms. Its magnetic moment is 0.0 μB per formula unit.

a b c (Å): 5.9362 5.9362 5.9362
angles (deg): 90.00 90.00 90.00
Positions (direct):
Ge  0.0000  0.0000  0.0000
Ac  0.5000  0.0000  0.0000
Ac  0.0000  0.0000  0.5000
Ac  0.0000  0.5000  0.0000
Sb  0.5000  0.5000  0.5000